No. 1
Below is a relaxed Ba2ZnCd crystal, with properties calculated at the PBE-GGA level.

The value obtained for the calculated total energy is -6.5 eV/cell. For the energy above the lowest structure with this stoichiometry, the calculation gives 119.2 meV per atom. Its size of the total moment is 0.000 μB/atom. The calculation puts the density of states at the Fermi level at 0.672 states/eV/atom.

The space group is P4mm (No. 99) and the conventional cell measures 4.199, 4.199 and 8.952 Å, with angles of 90.00, 90.00 and 90.00 degrees. The inequivalent atoms are Ba at (0.000, 0.000, 0.000), Ba at (0.500, 0.500, 0.410), Zn at (0.500, 0.500, 0.792) and Cd at (0.000, 0.000, 0.625).

No. 2
Below is a relaxed Ba2ZnCd crystal, with properties calculated at the PBE-GGA level.

The value obtained for the calculated total energy is -18.8 eV/cell. For the energy above the lowest structure with this stoichiometry, the calculation gives 176.0 meV per atom. Its size of the total moment is 0.000 μB/atom. The calculation puts the density of states at the Fermi level at 1.282 states/eV/atom.

The space group is R-3m (No. 166, hexagonal axes) and the conventional cell measures 4.5258, 4.5258 and 28.7647 Å, with angles of 90.00, 90.00 and 120.00 degrees. The inequivalent atoms are Ba at (0.0000, 0.0000, 0.2458), Zn at (0.0000, 0.0000, 0.5000) and Cd at (0.0000, 0.0000, 0.0000).

No. 3
Below is a relaxed BaZnCd11 crystal, with properties calculated at the PBE-GGA level.

The value obtained for the calculated total energy is -29.8 eV/cell. Its size of the total moment is 0.000 μB/atom. The calculation puts the density of states at the Fermi level at 0.288 states/eV/atom.

The space group is C2/m (No. 12) and the conventional cell measures 5.922, 14.393 and 7.771 Å, with angles of 90.00, 111.41 and 90.00 degrees. The inequivalent atoms are Ba at (0.000, 0.000, 0.000), Zn at (0.000, 0.500, 0.500), Cd at (0.000, 0.000, 0.500), Cd at (0.103, 0.391, 0.226), Cd at (0.183, 0.176, 0.359) and Cd at (0.250, 0.250, 0.000).

No. 4
Below is a relaxed Ba3Zn2Cd4 crystal, with properties calculated at the PBE-GGA level.

The value obtained for the calculated total energy is -28.8 eV/cell. Its size of the total moment is 0.000 μB/atom. The calculation puts the density of states at the Fermi level at 0.765 states/eV/atom.

The space group is C2/m (No. 12) and the conventional cell measures 12.435, 5.007 and 9.851 Å, with angles of 90.00, 106.46 and 90.00 degrees. The inequivalent atoms are Ba at (0.000, 0.000, 0.000), Ba at (0.167, 0.500, 0.662), Zn at (0.109, 0.500, 0.278), Cd at (0.055, 0.000, 0.382) and Cd at (0.220, 0.500, 0.062).

No. 5
Below is a relaxed Ba2ZnCd4 crystal, with properties calculated at the PBE-GGA level.

The value obtained for the calculated total energy is -19.2 eV/cell. Its size of the total moment is 0.000 μB/atom. The calculation puts the density of states at the Fermi level at 0.823 states/eV/atom.

The space group is I4/mmm (No. 139) and the conventional cell measures 5.135, 5.135 and 18.359 Å, with angles of 90.00, 90.00 and 90.00 degrees. The inequivalent atoms are Ba at (0.000, 0.000, 0.154), Zn at (0.000, 0.000, 0.500), Cd at (0.000, 0.000, 0.352) and Cd at (0.000, 0.500, 0.000).

No. 6
Below is a relaxed Ba4ZnCd2 crystal, with properties calculated at the PBE-GGA level.

The value obtained for the calculated total energy is -24.2 eV/cell. For the energy above the lowest structure with this stoichiometry, the calculation gives 0.0 meV per atom. Its size of the total moment is 0.000 μB/atom. The calculation puts the density of states at the Fermi level at 1.212 states/eV/atom.

The space group is I4/mmm (No. 139) and the conventional cell measures 8.415, 8.415 and 8.385 Å, with angles of 90.00, 90.00 and 90.00 degrees. The inequivalent atoms are Ba at (0.250, 0.250, 0.250), Zn at (0.000, 0.000, 0.000) and Cd at (0.000, 0.500, 0.000).

No. 7
Below is a relaxed Ba2ZnCd7 crystal, with properties calculated at the PBE-GGA level.

The value obtained for the calculated total energy is -13.9 eV/cell. Its size of the total moment is 0.000 μB/atom. The calculation puts the density of states at the Fermi level at 0.722 states/eV/atom.

The space group is P-4m2 (No. 115) and the conventional cell measures 4.845, 4.845 and 12.213 Å, with angles of 90.00, 90.00 and 90.00 degrees. The inequivalent atoms are Ba at (0.000, 0.500, 0.241), Zn at (0.500, 0.500, 0.000), Cd at (0.000, 0.000, 0.000), Cd at (0.000, 0.000, 0.500), Cd at (0.000, 0.500, 0.640), Cd at (0.000, 0.500, 0.876) and Cd at (0.500, 0.500, 0.500).

No. 8
Below is a relaxed Ba3Zn3Cd crystal, with properties calculated at the PBE-GGA level.

The value obtained for the calculated total energy is -47.3 eV/cell. Its size of the total moment is 0.000 μB/atom. The calculation puts the density of states at the Fermi level at 0.835 states/eV/atom.

The space group is Cmcm (No. 63) and the conventional cell measures 4.854, 12.252 and 15.428 Å, with angles of 90.00, 90.00 and 90.00 degrees. The inequivalent atoms are Ba at (0.000, 0.014, 0.250), Ba at (0.000, 0.270, 0.603), Zn at (0.000, 0.318, 0.250), Zn at (0.000, 0.440, 0.084) and Cd at (0.000, 0.000, 0.000).

No. 9
Below is a relaxed Ba2Zn5Cd12 crystal, with properties calculated at the PBE-GGA level.

The value obtained for the calculated total energy is -72.0 eV/cell. Its size of the total moment is 0.000 μB/atom. The calculation puts the density of states at the Fermi level at 0.414 states/eV/atom.

The space group is R-3m (No. 166, hexagonal axes) and the conventional cell measures 10.1718, 10.1718 and 14.7157 Å, with angles of 90.00, 90.00 and 120.00 degrees. The inequivalent atoms are Ba at (0.0000, 0.0000, 0.1634), Zn at (0.0000, 0.0000, 0.4054), Zn at (0.0000, 0.5000, 0.0000), Cd at (0.0000, 0.2908, 0.5000) and Cd at (0.0064, 0.5032, 0.3481).

No. 10
Below is a relaxed Ba2Zn2Cd3 crystal, with properties calculated at the PBE-GGA level.

The value obtained for the calculated total energy is -20.3 eV/cell. For the energy above the lowest structure with this stoichiometry, the calculation gives 82.7 meV per atom. Its size of the total moment is 0.000 μB/atom. The calculation puts the density of states at the Fermi level at 0.763 states/eV/atom.

The space group is Cmmm (No. 65) and the conventional cell measures 4.428, 23.820 and 4.094 Å, with angles of 90.00, 90.00 and 90.00 degrees. The inequivalent atoms are Ba at (0.000, 0.153, 0.000), Zn at (0.000, 0.274, 0.500), Cd at (0.000, 0.000, 0.000) and Cd at (0.000, 0.437, 0.500).

No. 11
Below is a relaxed BaZn4Cd crystal, with properties calculated at the PBE-GGA level.

The value obtained for the calculated total energy is -67.3 eV/cell. Its size of the total moment is 0.000 μB/atom. The calculation puts the density of states at the Fermi level at 0.443 states/eV/atom.

The space group is I4/mmm (No. 139) and the conventional cell measures 10.289, 10.289 and 11.489 Å, with angles of 90.00, 90.00 and 90.00 degrees. The inequivalent atoms are Ba at (0.000, 0.000, 0.189), Ba at (0.000, 0.500, 0.250), Zn at (0.116, 0.293, 0.000), Zn at (0.206, 0.206, 0.339) and Cd at (0.000, 0.207, 0.500).

No. 12
Below is a relaxed BaZnCd3 crystal, with properties calculated at the PBE-GGA level.

The value obtained for the calculated total energy is -14.3 eV/cell. For the energy above the lowest structure with this stoichiometry, the calculation gives 2.3 meV per atom. Its size of the total moment is 0.000 μB/atom. The calculation puts the density of states at the Fermi level at 0.774 states/eV/atom.

The space group is Cm (No. 8) and the conventional cell measures 6.629, 6.650 and 7.060 Å, with angles of 90.00, 117.96 and 90.00 degrees. The inequivalent atoms are Ba at (0.000, 0.000, 0.000), Zn at (0.389, 0.000, 0.780), Cd at (0.010, 0.250, 0.521) and Cd at (0.113, 0.500, 0.226).

No. 13
Below is a relaxed Ba4Zn3Cd crystal, with properties calculated at the PBE-GGA level.

The value obtained for the calculated total energy is -14.0 eV/cell. For the energy above the lowest structure with this stoichiometry, the calculation gives 0.0 meV per atom. Its size of the total moment is 0.000 μB/atom. The calculation puts the density of states at the Fermi level at 0.937 states/eV/atom.

The space group is Pmmm (No. 47) and the conventional cell measures 4.154, 5.873 and 11.734 Å, with angles of 90.00, 90.00 and 90.00 degrees. The inequivalent atoms are Ba at (0.000, 0.000, 0.000), Ba at (0.000, 0.000, 0.500), Ba at (0.000, 0.500, 0.244), Zn at (0.500, 0.000, 0.250), Zn at (0.500, 0.500, 0.000) and Cd at (0.500, 0.500, 0.500).

No. 14
Below is a relaxed BaZnCd3 crystal, with properties calculated at the PBE-GGA level.

The value obtained for the calculated total energy is -28.7 eV/cell. For the energy above the lowest structure with this stoichiometry, the calculation gives 0.0 meV per atom. Its size of the total moment is 0.000 μB/atom. The calculation puts the density of states at the Fermi level at 0.665 states/eV/atom.

The space group is Cmcm (No. 63) and the conventional cell measures 6.731, 12.108 and 6.759 Å, with angles of 90.00, 90.00 and 90.00 degrees. The inequivalent atoms are Ba at (0.000, 0.242, 0.250), Zn at (0.000, 0.361, 0.750), Cd at (0.000, 0.133, 0.750) and Cd at (0.227, 0.500, 0.000).

No. 15
Below is a relaxed Ba4ZnCd2 crystal, with properties calculated at the PBE-GGA level.

The value obtained for the calculated total energy is -22.1 eV/cell. For the energy above the lowest structure with this stoichiometry, the calculation gives 150.6 meV per atom. Its size of the total moment is 0.148 μB/atom. The calculation puts the density of states at the Fermi level at 1.587 states/eV/atom.

The space group is I4/mmm (No. 139) and the conventional cell measures 6.415, 6.415 and 16.900 Å, with angles of 90.00, 90.00 and 90.00 degrees. The inequivalent atoms are Ba at (0.000, 0.000, 0.197), Ba at (0.000, 0.500, 0.000), Zn at (0.000, 0.000, 0.000) and Cd at (0.000, 0.000, 0.404).

No. 16
Below is a relaxed Ba7Zn2Cd2 crystal, with properties calculated at the PBE-GGA level.

The value obtained for the calculated total energy is -36.8 eV/cell. Its size of the total moment is 0.000 μB/atom. The calculation puts the density of states at the Fermi level at 1.593 states/eV/atom.

The space group is Cmmm (No. 65) and the conventional cell measures 9.117, 13.013 and 8.500 Å, with angles of 90.00, 90.00 and 90.00 degrees. The inequivalent atoms are Ba at (0.000, 0.000, 0.000), Ba at (0.000, 0.500, 0.252), Ba at (0.250, 0.250, 0.272), Zn at (0.000, 0.292, 0.000) and Cd at (0.160, 0.000, 0.500).

No. 17
Below is a relaxed Ba12Zn3Cd5 crystal, with properties calculated at the PBE-GGA level.

The value obtained for the calculated total energy is -239.2 eV/cell. Its size of the total moment is 0.000 μB/atom. The calculation puts the density of states at the Fermi level at 1.340 states/eV/atom.

The space group is Ia-3d (No. 230) and the conventional cell measures 20.318, 20.318 and 20.318 Å, with angles of 90.00, 90.00 and 90.00 degrees. The inequivalent atoms are Ba at (0.019, 0.077, 0.650), Zn at (0.000, 0.250, 0.125), Cd at (0.000, 0.000, 0.000) and Cd at (0.000, 0.250, 0.375).

No. 18
Below is a relaxed Ba4Zn3Cd crystal, with properties calculated at the PBE-GGA level.

The value obtained for the calculated total energy is -13.9 eV/cell. For the energy above the lowest structure with this stoichiometry, the calculation gives 7.9 meV per atom. Its size of the total moment is 0.000 μB/atom. The calculation puts the density of states at the Fermi level at 0.823 states/eV/atom.

The space group is Pmm2 (No. 25) and the conventional cell measures 4.754, 5.274 and 11.889 Å, with angles of 90.00, 90.00 and 90.00 degrees. The inequivalent atoms are Ba at (0.000, 0.000, 0.000), Ba at (0.000, 0.500, 0.486), Ba at (0.500, 0.000, 0.697), Ba at (0.500, 0.500, 0.202), Zn at (0.000, 0.000, 0.299), Zn at (0.500, 0.000, 0.393), Zn at (0.500, 0.500, 0.908) and Cd at (0.000, 0.500, 0.791).

No. 19
Below is a relaxed Ba5ZnCd4 crystal, with properties calculated at the PBE-GGA level.

The value obtained for the calculated total energy is -17.4 eV/cell. Its size of the total moment is 0.000 μB/atom. The calculation puts the density of states at the Fermi level at 0.775 states/eV/atom.

The space group is P4/mmm (No. 123) and the conventional cell measures 4.210, 4.210 and 21.349 Å, with angles of 90.00, 90.00 and 90.00 degrees. The inequivalent atoms are Ba at (0.000, 0.000, 0.000), Ba at (0.000, 0.000, 0.203), Ba at (0.000, 0.000, 0.406), Zn at (0.500, 0.500, 0.500), Cd at (0.500, 0.500, 0.102) and Cd at (0.500, 0.500, 0.304).